A relaxed structure of TbTm12Sc7, computed with PBE-GGA.

Unit cell a=9.580 b=9.580 c=9.580 alpha=112.72 beta=112.72 gamma=112.72
Fractional coordinates of all 20 atoms:
Tm1 0.904 0.571 0.571
Tm2 0.000 0.282 0.718
Tm3 0.282 0.000 0.718
Tm4 0.571 0.571 0.904
Tm5 0.571 0.904 0.571
Tm6 0.000 0.718 0.282
Tm7 0.282 0.718 0.000
Tm8 0.718 0.000 0.282
Tm9 0.429 0.429 0.096
Tm10 0.096 0.429 0.429
Tm11 0.429 0.096 0.429
Tm12 0.718 0.282 0.000
Sc1 0.516 0.845 0.845
Sc2 0.500 0.500 0.500
Sc3 0.484 0.155 0.155
Sc4 0.845 0.516 0.845
Sc5 0.155 0.155 0.484
Sc6 0.155 0.484 0.155
Sc7 0.845 0.845 0.516
Tb1 0.000 0.000 0.000

Properties
N(E_F) (states/eV/cell): 35.2
Excess energy over the best structure of this formula in the dataset (eV/atom): 0.000



A relaxed structure of TbTmSc2, computed with PBE-GGA.

Unit cell a=3.742 b=3.742 c=8.066 alpha=90.00 beta=90.00 gamma=90.00
Fractional coordinates of all 4 atoms:
Sc1 0.500 0.500 0.221
Sc2 0.000 0.000 0.023
Tm1 0.500 0.500 0.780
Tb1 0.000 0.000 0.475

Properties
N(E_F) (states/eV/cell): 7.0
Excess energy over the best structure of this formula in the dataset (eV/atom): 0.024



A relaxed structure of TbTm2Sc8, computed with PBE-GGA.

Unit cell a=5.467 b=8.684 c=9.123 alpha=61.58 beta=72.59 gamma=51.05
Fractional coordinates of all 11 atoms:
Sc1 0.757 0.501 0.000
Sc2 0.226 0.644 0.259
Sc3 0.500 0.797 0.405
Sc4 0.500 0.203 0.595
Sc5 0.774 0.097 0.259
Sc6 0.774 0.356 0.741
Sc7 0.243 0.499 0.000
Sc8 0.226 0.903 0.741
Tm1 0.000 0.690 0.620
Tm2 0.000 0.310 0.380
Tb1 0.500 0.000 0.000

Properties
N(E_F) (states/eV/cell): 16.5



A relaxed structure of Tb2Tm3Sc6, computed with PBE-GGA.

Unit cell a=5.365 b=5.365 c=12.466 alpha=77.57 beta=77.57 gamma=60.00
Fractional coordinates of all 11 atoms:
Sc1 0.910 0.910 0.270
Sc2 0.177 0.177 0.470
Sc3 0.823 0.823 0.530
Sc4 0.638 0.638 0.086
Sc5 0.090 0.090 0.730
Sc6 0.362 0.362 0.914
Tm1 0.000 0.000 0.000
Tm2 0.729 0.729 0.812
Tm3 0.271 0.271 0.188
Tb1 0.453 0.453 0.642
Tb2 0.547 0.547 0.358

Properties
N(E_F) (states/eV/cell): 18.8



A relaxed structure of TbTm7Sc2, computed with PBE-GGA.

Unit cell a=5.501 b=8.676 c=8.676 alpha=120.09 beta=90.00 gamma=90.00
Fractional coordinates of all 10 atoms:
Tm1 0.000 0.764 0.236
Tm2 0.500 0.940 0.700
Tm3 0.500 0.500 0.500
Tm4 0.000 0.236 0.764
Tm5 0.500 0.060 0.300
Tm6 0.500 0.300 0.060
Tm7 0.500 0.700 0.940
Sc1 0.500 0.705 0.295
Sc2 0.500 0.295 0.705
Tb1 0.000 0.000 0.000

Properties
N(E_F) (states/eV/cell): 14.7
Excess energy over the best structure of this formula in the dataset (eV/atom): 0.640



A relaxed structure of Tb8Tm3Sc2, computed with PBE-GGA.

Unit cell a=5.559 b=7.639 c=10.424 alpha=111.50 beta=90.02 gamma=90.00
Fractional coordinates of all 13 atoms:
Tb1 0.500 0.819 0.222
Tb2 0.500 0.597 0.778
Tb3 0.500 0.403 0.222
Tb4 0.000 0.134 0.268
Tb5 0.999 0.325 0.649
Tb6 0.500 0.181 0.778
Tb7 0.000 0.866 0.732
Tb8 0.001 0.675 0.351
Sc1 0.501 0.760 0.519
Sc2 0.499 0.240 0.481
Tm1 0.000 0.286 0.000
Tm2 0.000 0.714 0.000
Tm3 0.500 0.000 0.000

Properties
N(E_F) (states/eV/cell): 17.9



Energy relative to the elements for the records above, in order: 276; 77; 131; 99; 681; 227 meV per atom
DFT total energy for the records above, in order: -97.08; -21.46; -62.79; -59.57; -41.78; -60.17 eV/cell